1.
Compound: NdDy3Pt2
Source: Alexandria
Functional: PBE
Structure: relaxed

Size of the total moment: 0.00 μB per formula unit

```
data_NdDy3Pt2
_chemical_formula_sum 'Nd2 Dy6 Pt4'
_cell_length_a 4.8029
_cell_length_b 8.8800
_cell_length_c 7.2148
_cell_angle_alpha 90.00
_cell_angle_beta 90.00
_cell_angle_gamma 90.00
_symmetry_space_group_name_H-M 'P m c 21'
_symmetry_Int_Tables_number 26
loop_
_symmetry_equiv_pos_as_xyz
'x,y,z'
'-x,-y,z+1/2'
'-x,y,z'
'x,-y,z+1/2'
loop_
_atom_site_label
_atom_site_type_symbol
_atom_site_fract_x
_atom_site_fract_y
_atom_site_fract_z
Nd1 Nd 0.0000 0.0806 0.0000
Dy1 Dy 0.0000 0.3349 0.6359
Dy2 Dy 0.5000 0.1731 0.3489
Dy3 Dy 0.5000 0.4203 0.9826
Pt1 Pt 0.0000 0.3454 0.2374
Pt2 Pt 0.5000 0.1641 0.7451
```



2.
Compound: NdDy3Pt2
Source: Alexandria
Functional: PBE
Structure: relaxed

Size of the total moment: 0.00 μB per formula unit

```
data_NdDy3Pt2
_chemical_formula_sum 'Nd4 Dy12 Pt8'
_cell_length_a 16.5065
_cell_length_b 5.2053
_cell_length_c 7.4121
_cell_angle_alpha 90.00
_cell_angle_beta 95.54
_cell_angle_gamma 90.00
_symmetry_space_group_name_H-M 'C 1 2/m 1'
_symmetry_Int_Tables_number 12
loop_
_symmetry_equiv_pos_as_xyz
'x,y,z'
'-x,-y,-z'
'-x,y,-z'
'x,-y,z'
'x+1/2,y+1/2,z'
'-x+1/2,-y+1/2,-z'
'-x+1/2,y+1/2,-z'
'x+1/2,-y+1/2,z'
loop_
_atom_site_label
_atom_site_type_symbol
_atom_site_fract_x
_atom_site_fract_y
_atom_site_fract_z
Nd1 Nd 0.1932 0.0000 0.3320
Dy1 Dy 0.0337 0.0000 0.7748
Dy2 Dy 0.1030 0.5000 0.5313
Dy3 Dy 0.1626 0.5000 0.9915
Pt1 Pt 0.0142 0.5000 0.1940
Pt2 Pt 0.2051 0.0000 0.7316
```



The most stable arrangement is 1, and the next structure is 11.7 kJ/mol of atoms less stable.